Entry 1:
Compound: TiZnIn2O6
Source: the Alexandria database
Functional: GGA-PBE
Structure: relaxed

Cell: 5.840 5.840 5.840 Å, 55.05 55.05 55.05°
Sites, in units of the cell vectors:
Ti 0.000 0.000 0.000
Zn 0.544 0.544 0.544
In 0.295 0.295 0.295
In 0.790 0.790 0.790
O 0.067 0.360 0.730
O 0.188 0.894 0.609
O 0.360 0.730 0.067
O 0.609 0.188 0.894
O 0.730 0.067 0.360
O 0.894 0.609 0.188

Calculated values
Symmetry: R3
V in A^3/atom: 12.5
DOS at the Fermi energy in states/eV/f.u.: 0.0
Raw formation energy in eV per formula unit: -19.31

---

Entry 2:
Compound: VPdS2
Source: the Alexandria database
Functional: GGA-PBE
Structure: relaxed

Cell: 6.135 6.873 6.992 Å, 90.00 115.06 90.00°
Sites, in units of the cell vectors:
V 0.000 0.113 0.250
V 0.000 0.887 0.750
V 0.500 0.387 0.750
V 0.500 0.613 0.250
Pd 0.000 0.317 0.750
Pd 0.000 0.683 0.250
Pd 0.500 0.183 0.250
Pd 0.500 0.817 0.750
S 0.225 0.100 0.637
S 0.225 0.900 0.137
S 0.275 0.400 0.363
S 0.275 0.600 0.863
S 0.725 0.400 0.137
S 0.725 0.600 0.637
S 0.775 0.100 0.863
S 0.775 0.900 0.363

Calculated values
Symmetry: C2/c
V in A^3/atom: 16.7
DOS at the Fermi energy in states/eV/f.u.: 1.6
Raw formation energy in eV per formula unit: -2.13

---

Entry 3:
Compound: La7Er2Sc2
Source: the Alexandria database
Functional: GGA-PBE
Structure: relaxed

Cell: 6.612 6.612 8.849 Å, 99.45 99.45 88.46°
Sites, in units of the cell vectors:
La 0.000 0.000 0.000
La 0.092 0.489 0.795
La 0.395 0.395 0.138
La 0.489 0.092 0.795
La 0.511 0.908 0.205
La 0.605 0.605 0.862
La 0.908 0.511 0.205
Er 0.312 0.312 0.477
Er 0.688 0.688 0.523
Sc 0.181 0.819 0.500
Sc 0.819 0.181 0.500

Calculated values
Symmetry: C2/m
V in A^3/atom: 34.2
Energy above the most stable polymorph in this dataset in meV per atom: 36
Energy of formation in eV per formula unit: 1.77
DOS at the Fermi energy in states/eV/f.u.: 15.9

---

Entry 4:
Compound: Ag2HgP2
Source: the Alexandria database
Functional: GGA-PBE
Structure: relaxed

Cell: 4.627 4.627 9.422 Å, 90.00 90.00 90.00°
Sites, in units of the cell vectors:
Ag 0.000 0.500 0.250
Ag 0.000 0.500 0.750
Ag 0.500 0.000 0.250
Ag 0.500 0.000 0.750
Hg 0.000 0.000 0.000
Hg 0.500 0.500 0.500
P 0.000 0.000 0.387
P 0.000 0.000 0.613
P 0.500 0.500 0.113
P 0.500 0.500 0.887

Calculated values
Symmetry: I4/mmm
V in A^3/atom: 20.2
Energy above the most stable polymorph in this dataset in meV per atom: 180
Energy of formation in eV per formula unit: 1.33
DOS at the Fermi energy in states/eV/f.u.: 3.2

---

Entry 5:
Compound: CoAg3C6N6
Source: the Alexandria database
Functional: GGA-PBE
Structure: relaxed

Cell: 7.553 7.553 6.744 Å, 90.00 90.00 120.00°
Sites, in units of the cell vectors:
Co 0.000 0.000 0.000
Ag 0.000 0.500 0.500
Ag 0.500 0.000 0.500
Ag 0.500 0.500 0.500
C 0.000 0.199 0.165
C 0.000 0.801 0.835
C 0.199 0.000 0.165
C 0.199 0.199 0.835
C 0.801 0.000 0.835
C 0.801 0.801 0.165
N 0.000 0.319 0.275
N 0.000 0.681 0.725
N 0.319 0.000 0.275
N 0.319 0.319 0.725
N 0.681 0.000 0.725
N 0.681 0.681 0.275

Calculated values
Symmetry: P-31m
V in A^3/atom: 20.8
DOS at the Fermi energy in states/eV/f.u.: 0.0
Raw formation energy in eV per formula unit: 6.01

---

Entry 6:
Compound: Na2CaIn9
Source: the Alexandria database
Functional: GGA-PBE
Structure: relaxed

Cell: 11.061 11.061 11.061 Å, 32.47 32.47 32.47°
Sites, in units of the cell vectors:
Na 0.142 0.142 0.142
Na 0.858 0.858 0.858
Ca 0.000 0.000 0.000
In 0.080 0.589 0.589
In 0.336 0.336 0.336
In 0.411 0.411 0.920
In 0.411 0.920 0.411
In 0.500 0.500 0.500
In 0.589 0.080 0.589
In 0.589 0.589 0.080
In 0.664 0.664 0.664
In 0.920 0.411 0.411

Calculated values
Symmetry: R-3m
V in A^3/atom: 28.9
Energy above the most stable polymorph in this dataset in meV per atom: 54
Energy of formation in eV per formula unit: -1.14
DOS at the Fermi energy in states/eV/f.u.: 5.6